Record 1
An optimized crystal structure of CsHg2SbBr8. Source: Alexandria, functional PBE.

Cell lengths 11.7959, 11.7959, 11.7959 Å; angles 34.43, 34.43, 34.43 degrees
Closest atoms and distances in Å follow each position.
Positions (direct):
Cs  0.0000  0.0000  0.0000  12 Br 4.04-4.31
Hg  0.2483  0.2483  0.2483  4 Br 2.59-2.72
Hg  0.7517  0.7517  0.7517  4 Br 2.59-2.72
Sb  0.5000  0.5000  0.5000  6 Br 2.87
Br  0.1486  0.4097  0.7747  1 Hg 2.72, 1 Sb 2.87
Br  0.2253  0.5903  0.8514  1 Hg 2.72, 1 Sb 2.87
Br  0.3262  0.3262  0.3262  1 Hg 2.59
Br  0.4097  0.7747  0.1486  1 Hg 2.72, 1 Sb 2.87
Br  0.5903  0.8514  0.2253  1 Hg 2.72, 1 Sb 2.87
Br  0.6738  0.6738  0.6738  1 Hg 2.59
Br  0.7747  0.1486  0.4097  1 Hg 2.72, 1 Sb 2.87
Br  0.8514  0.2253  0.5903  1 Hg 2.72, 1 Sb 2.87

Formation energy without anion corrections (eV/f.u.): -8.02

---

Record 2
An optimized crystal structure of Y2PaPd. Source: Alexandria, functional PBE.

Cell lengths 3.2756, 3.2756, 32.7907 Å; angles 90.00, 90.00, 120.00 degrees
Closest atoms and distances in Å follow each position.
Positions (direct):
Y  0.0000  0.0000  0.0982  3 Pd 2.94, 1 Pa 3.22, 6 Y 3.28
Y  0.0000  0.0000  0.9018  3 Pd 2.94, 1 Pa 3.22, 6 Y 3.28
Y  0.3333  0.6667  0.5685  3 Pd 2.94, 1 Pa 3.22, 6 Y 3.28
Y  0.3333  0.6667  0.7649  3 Pd 2.94, 1 Pa 3.22, 6 Y 3.28
Y  0.6667  0.3333  0.2351  3 Pd 2.94, 1 Pa 3.22, 6 Y 3.28
Y  0.6667  0.3333  0.4315  3 Pd 2.94, 1 Pa 3.22, 6 Y 3.28
Pa  0.0000  0.0000  0.0000  2 Y 3.22, 6 Pa 3.28
Pa  0.3333  0.6667  0.6667  2 Y 3.22, 6 Pa 3.28
Pa  0.6667  0.3333  0.3333  2 Y 3.22, 6 Pa 3.28
Pd  0.0000  0.0000  0.5000  6 Y 2.94, 6 Pd 3.28
Pd  0.3333  0.6667  0.1667  6 Y 2.94, 6 Pd 3.28
Pd  0.6667  0.3333  0.8333  6 Y 2.94, 6 Pd 3.28

Excess energy over the best structure of this formula in the dataset (eV/atom): 0.3226
ΔH_f (0 K) (eV per atom): 0.05